[1]
{
  "formula": "LiTa2Os",
  "functional": "PBE",
  "state": "optimized geometry",
  "lattice": [[1.5561, -2.3118, 0.0000], [1.5561, 2.3118, 0.0000], [0.0000, 0.0000, 9.5153]],
  "species": ["Li", "Ta", "Ta", "Os"],
  "frac_coords": [[0.0000, 0.0000, 0.0000], [0.5000, 0.5000, 0.2674], [0.5000, 0.5000, 0.7326], [0.0000, 0.0000, 0.5000]],
  "m_tot_mub_per_fu": 0.000,
  "delta_e_f_ev_per_fu": 0.9
}

[2]
{
  "formula": "LiTa2Os",
  "functional": "PBE",
  "state": "optimized geometry",
  "lattice": [[1.5673, -2.2975, 0.0000], [1.5673, 2.2975, 0.0000], [0.0000, 0.0000, 9.3231]],
  "species": ["Li", "Ta", "Ta", "Os"],
  "frac_coords": [[0.0000, 0.0000, 0.0000], [0.0000, 0.0000, 0.4613], [0.5000, 0.5000, 0.7188], [0.5000, 0.5000, 0.2327]],
  "m_tot_mub_per_fu": 0.000,
  "delta_e_f_ev_per_fu": 0.7
}

[3]
{
  "formula": "LiTa3Os",
  "functional": "PBE",
  "state": "optimized geometry",
  "lattice": [[4.8852, 0.0000, 0.0000], [0.0000, 4.8852, 0.0000], [0.0000, 0.0000, 4.8852]],
  "species": ["Li", "Ta", "Ta", "Ta", "Os"],
  "frac_coords": [[0.0000, 0.0000, 0.0000], [0.0000, 0.5000, 0.5000], [0.5000, 0.0000, 0.5000], [0.5000, 0.5000, 0.0000], [0.5000, 0.5000, 0.5000]],
  "e_above_lowest_polymorph_mev_per_atom": 0,
  "m_tot_mub_per_fu": 0.000,
  "delta_e_f_ev_per_fu": 5.7
}

[4]
{
  "formula": "LiTa2Os",
  "functional": "PBE",
  "state": "optimized geometry",
  "lattice": [[-1.2868, 2.3436, 6.4246], [1.2868, -2.3436, 6.4246], [1.2868, 2.3436, -6.4246]],
  "species": ["Li", "Ta", "Ta", "Os"],
  "frac_coords": [[0.0000, 0.0000, 0.0000], [0.3034, 0.3034, 0.0000], [0.6966, 0.6966, 0.0000], [0.5000, 0.5000, 0.0000]],
  "m_tot_mub_per_fu": 0.000,
  "delta_e_f_ev_per_fu": 2.8
}

[5]
{
  "formula": "LiTaOs3",
  "functional": "PBE",
  "state": "optimized geometry",
  "lattice": [[4.7997, 0.0000, 0.0000], [0.0000, 4.7997, 0.0000], [0.0000, 0.0000, 4.7997]],
  "species": ["Li", "Ta", "Os", "Os", "Os"],
  "frac_coords": [[0.0000, 0.0000, 0.0000], [0.5000, 0.5000, 0.5000], [0.0000, 0.5000, 0.5000], [0.5000, 0.0000, 0.5000], [0.5000, 0.5000, 0.0000]],
  "e_above_lowest_polymorph_mev_per_atom": 1221,
  "m_tot_mub_per_fu": 2.282,
  "delta_e_f_ev_per_fu": 10.0
}

[6]
{
  "formula": "LiTaOs3",
  "functional": "PBE",
  "state": "optimized geometry",
  "lattice": [[4.1272, 0.0000, 0.0000], [0.0000, 4.1272, 0.0000], [0.0000, 0.0000, 4.1272]],
  "species": ["Li", "Ta", "Os", "Os", "Os"],
  "frac_coords": [[0.0000, 0.0000, 0.0000], [0.5000, 0.5000, 0.5000], [0.0000, 0.0000, 0.5000], [0.0000, 0.5000, 0.0000], [0.5000, 0.0000, 0.0000]],
  "e_above_lowest_polymorph_mev_per_atom": 0,
  "m_tot_mub_per_fu": 0.000,
  "delta_e_f_ev_per_fu": 3.9
}

[7]
{
  "formula": "LiTa2Os",
  "functional": "PBE",
  "state": "optimized geometry",
  "lattice": [[1.4208, 0.8203, 9.7635], [-1.4208, 0.8203, 9.7635], [0.0000, -1.6406, 9.7635]],
  "species": ["Li", "Ta", "Ta", "Os"],
  "frac_coords": [[0.0000, 0.0000, 0.0000], [0.2445, 0.2445, 0.2445], [0.7555, 0.7555, 0.7555], [0.5000, 0.5000, 0.5000]],
  "m_tot_mub_per_fu": 0.000,
  "delta_e_f_ev_per_fu": 1.0
}

[8]
{
  "formula": "Li4TaOs",
  "functional": "PBE",
  "state": "optimized geometry",
  "lattice": [[0.0000, 3.3756, 3.3756], [3.3756, 0.0000, 3.3756], [3.3756, 3.3756, 0.0000]],
  "species": ["Li", "Li", "Li", "Li", "Ta", "Os"],
  "frac_coords": [[0.1226, 0.1226, 0.1226], [0.1226, 0.1226, 0.6322], [0.1226, 0.6322, 0.1226], [0.6322, 0.1226, 0.1226], [0.5000, 0.5000, 0.5000], [0.7500, 0.7500, 0.7500]],
  "m_tot_mub_per_fu": 0.000,
  "delta_e_f_ev_per_fu": 1.8
}